La4NdTe5 | GGA-PBE | optimized geometry

Structure (extended XYZ):
```
10
Lattice="4.5640 0.0000 0.0000 0.0000 4.5640 0.0000 -2.2820 -2.2820 16.1569" Properties=species:S:1:pos:R:3 pbc="T T T"
La 0.0000 0.0000 12.9567
La 2.2820 2.2820 9.6740
La 0.0000 0.0000 6.4829
La 2.2820 2.2820 3.2002
Nd 0.0000 0.0000 0.0000
Te 0.0000 0.0000 3.2106
Te 2.2820 2.2820 0.0000
Te 2.2820 2.2820 12.9464
Te 0.0000 0.0000 9.7174
Te 2.2820 2.2820 6.4395
```

Space-group type   No. 139
Total magnetic moment   0.0 μB per cell
E   -55.8 eV per cell